DFT (PBE) results for an optimized crystal structure of NaErIr4.

Lattice parameters (Å, degrees): 7.496 7.496 7.496 90.00 90.00 90.00
Space group F-43m (No. 216)
One atom of each set of equivalent atoms:
Na 0.000 0.000 0.000 [4 per cell]
Er 0.250 0.250 0.750 [4 per cell]
Ir 0.125 0.125 0.375 [16 per cell]

- formation enthalpy at 0 K (kJ/mol of atoms) = -35.27

---

DFT (PBE) results for an optimized crystal structure of CaTcAs2.

Lattice parameters (Å, degrees): 7.187 7.187 6.984 90.00 90.00 90.00
Space group I-42d (No. 122)
One atom of each set of equivalent atoms:
Ca 0.000 0.000 0.000 [4 per cell]
Tc 0.000 0.000 0.500 [4 per cell]
As 0.189 0.250 0.625 [8 per cell]

- formation enthalpy at 0 K (kJ/mol of atoms) = -25.54

---

DFT (PBE) results for an optimized crystal structure of PaTeAu.

Lattice parameters (Å, degrees): 4.250 4.267 8.563 90.00 90.00 90.00
Space group Pmmn (No. 59, origin choice 2)
One atom of each set of equivalent atoms:
Pa 0.250 0.250 0.246 [2 per cell]
Te 0.250 0.250 0.866 [2 per cell]
Au 0.250 0.750 0.499 [2 per cell]

- uncorrected formation energy (meV per atom) = -581

---

DFT (PBE) results for an optimized crystal structure of Rb2CrI6N.

Lattice parameters (Å, degrees): 7.623 7.623 12.702 90.00 90.00 90.00
Space group I4/mmm (No. 139)
One atom of each set of equivalent atoms:
Rb 0.000 0.500 0.250 [4 per cell]
Cr 0.000 0.000 0.000 [2 per cell]
I 0.000 0.000 0.214 [4 per cell]
I 0.234 0.234 0.500 [8 per cell]
N 0.000 0.000 0.500 [2 per cell]

- uncorrected formation energy (meV per atom) = -232

---

DFT (PBE) results for an optimized crystal structure of TlVH2.

Lattice parameters (Å, degrees): 5.737 5.737 5.737 90.00 90.00 90.00
Space group Fm-3m (No. 225)
One atom of each set of equivalent atoms:
Tl 0.000 0.000 0.000 [4 per cell]
V 0.000 0.000 0.500 [4 per cell]
H 0.250 0.250 0.250 [8 per cell]

- total DFT energy (no corrections) (eV per atom) = -3.67

---

DFT (PBE) results for an optimized crystal structure of Na2YOsAu.

Lattice parameters (Å, degrees): 5.873 5.873 5.200 90.00 90.00 90.00
Space group P4/mmm (No. 123)
One atom of each set of equivalent atoms:
Na 0.000 0.500 0.000 [2 per cell]
Y 0.000 0.000 0.000 [1 per cell]
Os 0.500 0.500 0.500 [1 per cell]
Au 0.000 0.000 0.500 [1 per cell]

- formation enthalpy at 0 K (kJ/mol of atoms) = 184.13

---

DFT (PBE) results for an optimized crystal structure of LiSiSn3.

Lattice parameters (Å, degrees): 4.978 4.978 4.978 90.00 90.00 90.00
Space group Pm-3m (No. 221)
One atom of each set of equivalent atoms:
Li 0.000 0.000 0.000 [1 per cell]
Si 0.500 0.500 0.500 [1 per cell]
Sn 0.000 0.000 0.500 [3 per cell]

- uncorrected formation energy (meV per atom) = 502

---

DFT (PBE) results for an optimized crystal structure of MgScAlIn.

Lattice parameters (Å, degrees): 6.966 6.966 6.966 90.00 90.00 90.00
Space group F-43m (No. 216)
One atom of each set of equivalent atoms:
Mg 0.000 0.000 0.000 [4 per cell]
Sc 0.000 0.000 0.500 [4 per cell]
Al 0.250 0.250 0.750 [4 per cell]
In 0.250 0.250 0.250 [4 per cell]

- formation enthalpy at 0 K (kJ/mol of atoms) = -16.25

---

DFT (PBE) results for an optimized crystal structure of HfZr4Hg5.

Lattice parameters (Å, degrees): 3.513 3.513 17.606 90.00 90.00 90.00
Space group P4/mmm (No. 123)
One atom of each set of equivalent atoms:
Hf 0.000 0.000 0.000 [1 per cell]
Zr 0.000 0.000 0.199 [2 per cell]
Zr 0.000 0.000 0.399 [2 per cell]
Hg 0.500 0.500 0.097 [2 per cell]
Hg 0.500 0.500 0.299 [2 per cell]
Hg 0.500 0.500 0.500 [1 per cell]

- formation enthalpy at 0 K (kJ/mol of atoms) = -11.18

---

DFT (PBE) results for an optimized crystal structure of V2GeC.

Lattice parameters (Å, degrees): 3.0048 3.0048 12.2512 90.00 90.00 120.00
Space group P6_3/mmc (No. 194)
One atom of each set of equivalent atoms:
V 0.3333 0.6667 0.0878 [4 per cell]
Ge 0.3333 0.6667 0.7500 [2 per cell]
C 0.0000 0.0000 0.0000 [2 per cell]

- formation enthalpy at 0 K (kJ/mol of atoms) = -47.25

---

DFT (PBE) results for an optimized crystal structure of Pu2BiIr.

Lattice parameters (Å, degrees): 4.584 4.584 4.415 90.00 90.00 90.00
Space group P4/mmm (No. 123)
One atom of each set of equivalent atoms:
Pu 0.000 0.500 0.000 [2 per cell]
Bi 0.000 0.000 0.500 [1 per cell]
Ir 0.500 0.500 0.500 [1 per cell]

- formation enthalpy at 0 K (kJ/mol of atoms) = -21.00

---

DFT (PBE) results for an optimized crystal structure of RbZr2Cu2Se6.

Lattice parameters (Å, degrees): 7.334 7.344 7.747 93.88 115.94 117.19
Space group P-1 (No. 2)
One atom of each set of equivalent atoms:
Rb 0.000 0.000 0.000 [1 per cell]
Zr 0.328 0.643 0.978 [2 per cell]
Cu 0.287 0.558 0.570 [2 per cell]
Se 0.155 0.512 0.229 [2 per cell]
Se 0.249 0.304 0.742 [2 per cell]
Se 0.425 0.901 0.772 [2 per cell]

- uncorrected formation energy (meV per atom) = -864

---

DFT (PBE) results for an optimized crystal structure of KNdAg2Br8.

Lattice parameters (Å, degrees): 7.217 7.217 15.254 90.00 90.00 90.00
Space group I-4 (No. 82)
One atom of each set of equivalent atoms:
K 0.000 0.000 0.000 [2 per cell]
Nd 0.000 0.500 0.250 [2 per cell]
Ag 0.000 0.000 0.500 [2 per cell]
Ag 0.000 0.500 0.750 [2 per cell]
Br 0.141 0.292 0.413 [8 per cell]
Br 0.172 0.789 0.814 [8 per cell]

- uncorrected formation energy (meV per atom) = -942

---

DFT (PBE) results for an optimized crystal structure of Sr2LiP.

Lattice parameters (Å, degrees): 7.716 7.716 7.716 90.00 90.00 90.00
Space group F-43m (No. 216)
One atom of each set of equivalent atoms:
Sr 0.000 0.000 0.000 [4 per cell]
Sr 0.250 0.250 0.250 [4 per cell]
Li 0.000 0.000 0.500 [4 per cell]
P 0.250 0.250 0.750 [4 per cell]

- formation enthalpy at 0 K (kJ/mol of atoms) = 3.46

---

DFT (PBE) results for an optimized crystal structure of VBiP2Cl.

Lattice parameters (Å, degrees): 5.261 5.261 5.182 90.00 90.00 90.00
Space group P4/mmm (No. 123)
One atom of each set of equivalent atoms:
V 0.000 0.000 0.000 [1 per cell]
Bi 0.500 0.500 0.500 [1 per cell]
P 0.000 0.500 0.500 [2 per cell]
Cl 0.500 0.500 0.000 [1 per cell]

- uncorrected formation energy (meV per atom) = 1354

---

DFT (PBE) results for an optimized crystal structure of RbSm2NpO8.

Lattice parameters (Å, degrees): 4.061 8.237 5.414 90.00 96.14 90.00
Space group P2/m (No. 10)
One atom of each set of equivalent atoms:
Rb 0.000 0.000 0.000 [1 per cell]
Sm 0.500 0.278 0.500 [2 per cell]
Np 0.000 0.500 0.000 [1 per cell]
O 0.035 0.308 0.761 [4 per cell]
O 0.418 0.000 0.618 [2 per cell]
O 0.455 0.500 0.228 [2 per cell]

- uncorrected formation energy (meV per atom) = -2590

---

DFT (PBE) results for an optimized crystal structure of CaGa2TeN.

Lattice parameters (Å, degrees): 5.580 5.580 4.153 90.00 90.00 90.00
Space group P4/mmm (No. 123)
One atom of each set of equivalent atoms:
Ca 0.000 0.000 0.000 [1 per cell]
Ga 0.000 0.500 0.500 [2 per cell]
Te 0.500 0.500 0.500 [1 per cell]
N 0.500 0.500 0.000 [1 per cell]

- uncorrected formation energy (meV per atom) = 637

---

DFT (PBE) results for an optimized crystal structure of LiHg3Br2F6.

Lattice parameters (Å, degrees): 11.620 7.413 5.755 90.00 99.67 90.00
Space group C2/m (No. 12)
One atom of each set of equivalent atoms:
Li 0.000 0.000 0.000 [2 per cell]
Hg 0.000 0.500 0.500 [2 per cell]
Hg 0.250 0.250 0.000 [4 per cell]
Br 0.204 0.500 0.344 [4 per cell]
F 0.076 0.278 0.778 [8 per cell]
F 0.155 0.000 0.134 [4 per cell]

- uncorrected formation energy (meV per atom) = -1296

---

DFT (PBE) results for an optimized crystal structure of Sm5Ag4Pt.

Lattice parameters (Å, degrees): 3.660 3.660 18.657 90.00 90.00 90.00
Space group P4/mmm (No. 123)
One atom of each set of equivalent atoms:
Sm 0.000 0.000 0.000 [1 per cell]
Sm 0.000 0.000 0.204 [2 per cell]
Sm 0.000 0.000 0.409 [2 per cell]
Ag 0.500 0.500 0.102 [2 per cell]
Ag 0.500 0.500 0.304 [2 per cell]
Pt 0.500 0.500 0.500 [1 per cell]

- formation enthalpy at 0 K (kJ/mol of atoms) = -43.28

---

DFT (PBE) results for an optimized crystal structure of Sm5Hg2Rh.

Lattice parameters (Å, degrees): 7.492 12.183 4.940 90.00 90.00 90.00
Space group Pbam (No. 55)
One atom of each set of equivalent atoms:
Sm 0.000 0.000 0.000 [2 per cell]
Sm 0.141 0.294 0.000 [4 per cell]
Sm 0.178 0.583 0.500 [4 per cell]
Hg 0.081 0.838 0.500 [4 per cell]
Rh 0.000 0.500 0.000 [2 per cell]

- formation enthalpy at 0 K (kJ/mol of atoms) = -44.08

---

DFT (PBE) results for an optimized crystal structure of Ac2MnSn3Pt4.

Lattice parameters (Å, degrees): 4.668 4.668 10.686 90.00 90.00 90.00
Space group P-4m2 (No. 115)
One atom of each set of equivalent atoms:
Ac 0.000 0.500 0.250 [2 per cell]
Mn 0.000 0.000 0.500 [1 per cell]
Sn 0.000 0.500 0.873 [2 per cell]
Sn 0.500 0.500 0.500 [1 per cell]
Pt 0.000 0.000 0.000 [1 per cell]
Pt 0.000 0.500 0.626 [2 per cell]
Pt 0.500 0.500 0.000 [1 per cell]

- formation enthalpy at 0 K (kJ/mol of atoms) = -77.54

---

DFT (PBE) results for an optimized crystal structure of SiTe2As.

Lattice parameters (Å, degrees): 3.711 5.637 9.144 90.00 90.00 90.00
Space group Immm (No. 71)
One atom of each set of equivalent atoms:
Si 0.000 0.000 0.000 [2 per cell]
Te 0.000 0.500 0.243 [4 per cell]
As 0.000 0.000 0.500 [2 per cell]

- uncorrected formation energy (meV per atom) = 542

---

DFT (PBE) results for an optimized crystal structure of Tb2SmHo2Tm2.

Lattice parameters (Å, degrees): 17.511 3.483 8.321 90.00 116.79 90.00
Space group C2/m (No. 12)
One atom of each set of equivalent atoms:
Tb 0.149 0.000 0.390 [4 per cell]
Sm 0.000 0.500 0.500 [2 per cell]
Ho 0.072 0.000 0.910 [4 per cell]
Tm 0.211 0.500 0.799 [4 per cell]

- formation enthalpy at 0 K (kJ/mol of atoms) = 14.26

---

DFT (PBE) results for an optimized crystal structure of TaInAu2.

Lattice parameters (Å, degrees): 3.039 3.039 8.144 90.00 90.00 90.00
Space group P4mm (No. 99)
One atom of each set of equivalent atoms:
Ta 0.000 0.000 0.000 [1 per cell]
In 0.500 0.500 0.737 [1 per cell]
Au 0.000 0.000 0.483 [1 per cell]
Au 0.500 0.500 0.229 [1 per cell]

- formation enthalpy at 0 K (kJ/mol of atoms) = 0.00

---

DFT (PBE) results for an optimized crystal structure of Ca2ScF.

Lattice parameters (Å, degrees): 3.4790 3.4790 28.8869 90.00 90.00 120.00
Space group R-3m (No. 166, hexagonal axes)
One atom of each set of equivalent atoms:
Ca 0.0000 0.0000 0.1098 [6 per cell]
Sc 0.0000 0.0000 0.0000 [3 per cell]
F 0.0000 0.0000 0.5000 [3 per cell]

- uncorrected formation energy (meV per atom) = -931

---

| no. | calculated volume (Å³/cell) |
| --- | --- |
| 1 | 421.2 |
| 2 | 360.7 |
| 3 | 155.3 |
| 4 | 738.1 |
| 5 | 188.9 |
| 6 | 179.4 |
| 7 | 123.3 |
| 8 | 338.1 |
| 9 | 217.3 |
| 10 | 95.8 |
| 11 | 92.8 |
| 12 | 314.5 |
| 13 | 794.5 |
| 14 | 459.5 |
| 15 | 143.5 |
| 16 | 180.1 |
| 17 | 129.3 |
| 18 | 488.7 |
| 19 | 249.9 |
| 20 | 450.9 |
| 21 | 232.9 |
| 22 | 191.3 |
| 23 | 453.0 |
| 24 | 75.2 |
| 25 | 302.8 |